No. 1
# PBE-GGA Nd2Sm3Ag4, optimized geometry
# ΔH_f (0 K) = -1.16 eV/f.u.
# Total magnetic moment = 0.00 μB/cell
# Uncorrected energy = -145.03 eV for the cell shown
data_Nd2Sm3Ag4
_cell_length_a 6.9913
_cell_length_b 18.4525
_cell_length_c 7.8205
_cell_angle_alpha 90.00
_cell_angle_beta 90.00
_cell_angle_gamma 90.00
_space_group_name_H-M_alt 'C m c e'
_space_group_IT_number 64
_space_group_name_Hall '-C 2ac 2'
loop_
_atom_site_label
_atom_site_type_symbol
_atom_site_fract_x
_atom_site_fract_y
_atom_site_fract_z
_atom_site_occupancy
Nd1 Nd 0.0000 0.0955 0.0792 1
Sm1 Sm 0.0000 0.0000 0.5000 1
Sm2 Sm 0.2500 0.2425 0.7500 1
Ag1 Ag 0.0000 0.1616 0.4840 1
Ag2 Ag 0.2500 0.0748 0.7500 1

---

No. 2
# PBE-GGA NdSm3Ag, optimized geometry
# ΔH_f (0 K) = 0.30 eV/f.u.
# Total magnetic moment = 0.00 μB/cell
# Uncorrected energy = -85.90 eV for the cell shown
data_NdSm3Ag
_cell_length_a 11.7885
_cell_length_b 8.5019
_cell_length_c 8.0120
_cell_angle_alpha 90.00
_cell_angle_beta 122.93
_cell_angle_gamma 90.00
_space_group_name_H-M_alt 'C 1 2/m 1'
_space_group_IT_number 12
loop_
_space_group_symop_operation_xyz
'x,y,z'
'-x,-y,-z'
'-x,y,-z'
'x,-y,z'
'x+1/2,y+1/2,z'
'-x+1/2,-y+1/2,-z'
'-x+1/2,y+1/2,-z'
'x+1/2,-y+1/2,z'
loop_
_atom_site_label
_atom_site_type_symbol
_atom_site_fract_x
_atom_site_fract_y
_atom_site_fract_z
_atom_site_occupancy
Nd1 Nd 0.0814 0.0000 0.2663 1
Sm1 Sm 0.0513 0.5000 0.3062 1
Sm2 Sm 0.1784 0.2049 0.6972 1
Ag1 Ag 0.2384 0.0000 0.0557 1

---

No. 3
# PBE-GGA NdSm5Ag6, optimized geometry
# ΔH_f (0 K) = -3.30 eV/f.u.
# Total magnetic moment = 0.00 μB/cell
# Uncorrected energy = -97.55 eV for the cell shown
data_NdSm5Ag6
_cell_length_a 5.2925
_cell_length_b 15.8778
_cell_length_c 7.3556
_cell_angle_alpha 90.00
_cell_angle_beta 90.00
_cell_angle_gamma 90.00
_space_group_name_H-M_alt 'C m m m'
_space_group_IT_number 65
_space_group_name_Hall '-C 2 2'
loop_
_atom_site_label
_atom_site_type_symbol
_atom_site_fract_x
_atom_site_fract_y
_atom_site_fract_z
_atom_site_occupancy
Nd1 Nd 0.0000 0.0000 0.0000 1
Sm1 Sm 0.0000 0.0000 0.5000 1
Sm2 Sm 0.0000 0.3329 0.0000 1
Sm3 Sm 0.0000 0.3338 0.5000 1
Ag1 Ag 0.0000 0.1680 0.2520 1
Ag2 Ag 0.0000 0.5000 0.2531 1

---

No. 4
# PBE-GGA Nd4Sm3Ag4, optimized geometry
# ΔH_f (0 K) = -0.79 eV/f.u.
# Total magnetic moment = 0.00 μB/cell
# Uncorrected energy = -90.86 eV for the cell shown
data_Nd4Sm3Ag4
_cell_length_a 5.2023
_cell_length_b 7.5099
_cell_length_c 16.4887
_cell_angle_alpha 90.00
_cell_angle_beta 90.00
_cell_angle_gamma 90.00
_space_group_name_H-M_alt 'I m m m'
_space_group_IT_number 71
_space_group_name_Hall '-I 2 2'
loop_
_atom_site_label
_atom_site_type_symbol
_atom_site_fract_x
_atom_site_fract_y
_atom_site_fract_z
_atom_site_occupancy
Nd1 Nd 0.0000 0.2270 0.1755 1
Sm1 Sm 0.0000 0.0000 0.3996 1
Sm2 Sm 0.0000 0.5000 0.5000 1
Ag1 Ag 0.0000 0.3128 0.0000 1
Ag2 Ag 0.0000 0.5000 0.3125 1

---

D(E_F), record by record: 9.76; 6.73; 7.94; 9.97 states/eV/f.u.